First-principles (PBE) data for a relaxed structure of La2NdRh, as listed in Alexandria via LeMat-Bulk.

- Raw total energy: -22.67 eV/cell
- Energy above the most stable polymorph in this dataset: 266 meV/atom
- Formation energy from the elements: -0.175 eV per atom

a b c (Å): 10.894 10.894 10.894
angles (deg): 20.50 20.50 20.50
Fractional coordinates of all 4 atoms:
La (0.112, 0.112, 0.112)
La (0.888, 0.888, 0.888)
Nd (0.000, 0.000, 0.000)
Rh (0.500, 0.500, 0.500)